No. 1
The following is a DFT calculation (GGA-PBE) of a relaxed structure of Cs2Sm2BiS6.

```
Cs2Sm2BiS6
1.0
7.112 -0.019 0.063
-3.531 6.173 0.063
-1.276 -2.193 8.277
S Bi Cs Sm
6 1 2 2
direct
0.390 0.061 0.682
0.734 0.734 0.681
0.061 0.390 0.682
0.939 0.610 0.318
0.610 0.939 0.318
0.266 0.266 0.319
0.000 0.000 0.500
0.832 0.168 0.000
0.168 0.832 0.000
0.333 0.667 0.500
0.667 0.333 0.500
```

Results
E_form (uncorrected) (eV per formula unit): -14.87
N(E_F) (states/eV/cell): 5.666
Volume (Å³/atom): 33.16
Total energy (eV for the cell shown): -54.66
Crystal system: monoclinic

No. 2
The following is a DFT calculation (GGA-PBE) of a relaxed structure of CsSn2BiS.

```
CsSn2BiS
1.0
6.373 0.000 0.000
0.000 6.264 0.000
0.000 0.000 6.373
Cs Sn S Bi
1 2 1 1
direct
0.000 0.000 0.000
0.000 0.000 0.500
0.500 0.000 0.000
0.500 0.500 0.500
0.000 0.500 0.000
```

Results
E_form (uncorrected) (eV per formula unit): 8.26
N(E_F) (states/eV/cell): 5.305
Volume (Å³/atom): 50.88
Total energy (eV for the cell shown): -8.60
Crystal system: tetragonal

No. 3
The following is a DFT calculation (GGA-PBE) of a relaxed structure of CsSrBiS3.

```
CsSrBiS3
1.0
-0.227 2.164 4.709
-5.283 -6.991 0.100
8.125 -3.592 2.042
S Bi Cs Sr
6 2 2 2
direct
0.503 0.005 0.286
0.834 0.669 0.635
0.497 0.995 0.714
0.861 0.722 0.240
0.166 0.331 0.365
0.139 0.278 0.760
0.989 0.979 0.798
0.011 0.021 0.202
0.661 0.322 0.070
0.339 0.678 0.930
0.356 0.712 0.441
0.644 0.288 0.559
```

Results
E_form (uncorrected) (eV per formula unit): -6.29
Volume (Å³/atom): 32.10
Total energy (eV for the cell shown): -50.18
Crystal system: monoclinic

What did the second record say?
The following is a DFT calculation (GGA-PBE) of a relaxed structure of CsSn2BiS.

```
CsSn2BiS
1.0
6.373 0.000 0.000
0.000 6.264 0.000
0.000 0.000 6.373
Cs Sn S Bi
1 2 1 1
direct
0.000 0.000 0.000
0.000 0.000 0.500
0.500 0.000 0.000
0.500 0.500 0.500
0.000 0.500 0.000
```

Results
E_form (uncorrected) (eV per formula unit): 8.26
N(E_F) (states/eV/cell): 5.305
Volume (Å³/atom): 50.88
Total energy (eV for the cell shown): -8.60
Crystal system: tetragonal